1.
BeTc2Ag | PBE-GGA | optimized geometry

Output
Volume ... 57.0 Å³/cell
Electronic total energy ... -24.7 eV per cell
DFT formation energy ... 641 meV/atom

Cell: 4.6474 4.6474 2.6392 Å, 90.00 90.00 90.00°
Positions (direct):
Be  0.0000  0.0000  0.0000
Tc  0.0000  0.5000  0.5000
Tc  0.5000  0.0000  0.5000
Ag  0.5000  0.5000  0.0000

2.
BeTcAg2 | PBE-GGA | optimized geometry

Output
Volume ... 59.2 Å³/cell
Electronic total energy ... -18.6 eV per cell
DFT formation energy ... 298 meV/atom

Cell: 8.9975 8.9975 8.9975 Å, 17.77 17.77 17.77°
Positions (direct):
Be  0.0000  0.0000  0.0000
Tc  0.7368  0.7368  0.7368
Ag  0.2570  0.2570  0.2570
Ag  0.4953  0.4953  0.4953

3.
BeTcAg2 | PBE-GGA | optimized geometry

Output
Volume ... 59.0 Å³/cell
Electronic total energy ... -18.0 eV per cell
DFT formation energy ... 446 meV/atom

Cell: 9.0059 9.0059 9.0059 Å, 17.70 17.70 17.70°
Positions (direct):
Be  0.0000  0.0000  0.0000
Tc  0.5000  0.5000  0.5000
Ag  0.2589  0.2589  0.2589
Ag  0.7411  0.7411  0.7411

4.
BeTcAg2 | PBE-GGA | optimized geometry

Output
Volume ... 128.9 Å³/cell
Electronic total energy ... -33.3 eV per cell
DFT formation energy ... 792 meV/atom

Cell: 10.0147 10.0147 10.0147 Å, 159.00 159.00 29.87°
Positions (direct):
Be  0.0000  0.0000  0.0000
Be  0.7500  0.2500  0.5000
Tc  0.2500  0.7500  0.5000
Tc  0.5000  0.5000  0.0000
Ag  0.1194  0.6250  0.9944
Ag  0.3750  0.3694  0.4944
Ag  0.6306  0.1250  0.0056
Ag  0.8750  0.8806  0.5056

5.
BeTc2Ag | PBE-GGA | optimized geometry

Output
Volume ... 55.9 Å³/cell
Electronic total energy ... -26.2 eV per cell
DFT formation energy ... 270 meV/atom

Cell: 5.4210 5.4210 4.2957 Å, 113.26 113.26 29.00°
Positions (direct):
Be  0.0000  0.0000  0.0000
Tc  0.2895  0.2895  0.7891
Tc  0.7105  0.7105  0.2109
Ag  0.5000  0.5000  0.5000

6.
BeTcAg2 | PBE-GGA | optimized geometry

Output
Volume ... 58.2 Å³/cell
Electronic total energy ... -18.2 eV per cell
DFT formation energy ... 409 meV/atom

Cell: 5.4460 5.4460 5.4460 Å, 151.33 130.93 57.83°
Positions (direct):
Be  0.0000  0.0000  0.0000
Tc  0.5000  0.5000  0.0000
Ag  0.2113  0.7113  0.5000
Ag  0.7887  0.2887  0.5000

7.
BeTcAg2 | PBE-GGA | optimized geometry

Output
Volume ... 59.2 Å³/cell
Electronic total energy ... -18.2 eV per cell
DFT formation energy ... 404 meV/atom

Cell: 4.9910 4.9910 4.9780 Å, 109.80 109.80 30.64°
Positions (direct):
Be  0.0000  0.0000  0.0000
Tc  0.7268  0.7268  0.1097
Ag  0.2915  0.2915  0.6632
Ag  0.5149  0.5149  0.4488

8.
BeTcAg2 | PBE-GGA | optimized geometry

Output
Volume ... 60.3 Å³/cell
Electronic total energy ... -17.4 eV per cell
DFT formation energy ... 605 meV/atom

Cell: 4.9542 4.9542 4.9542 Å, 134.81 134.81 65.82°
Positions (direct):
Be  0.0000  0.0000  0.0000
Tc  0.5000  0.5000  0.0000
Ag  0.2500  0.7500  0.5000
Ag  0.7500  0.2500  0.5000

9.
BeTcAg2 | PBE-GGA | optimized geometry

Output
Volume ... 57.8 Å³/cell
Electronic total energy ... -18.9 eV per cell
DFT formation energy ... 225 meV/atom

Cell: 2.7495 2.7495 7.6409 Å, 90.00 90.00 90.00°
Positions (direct):
Be  0.0000  0.0000  0.0000
Tc  0.5000  0.5000  0.1977
Ag  0.0000  0.0000  0.4847
Ag  0.5000  0.5000  0.7838

10.
BeTc2Ag | PBE-GGA | optimized geometry

Output
Volume ... 54.7 Å³/cell
Electronic total energy ... -26.1 eV per cell
DFT formation energy ... 312 meV/atom

Cell: 4.7406 4.7406 4.4972 Å, 113.85 113.85 36.73°
Positions (direct):
Be  0.0000  0.0000  0.0000
Tc  0.2857  0.2857  0.6893
Tc  0.5106  0.5106  0.4583
Ag  0.7227  0.7227  0.1331

11.
BeTcAg2 | PBE-GGA | optimized geometry

Output
Volume ... 60.5 Å³/cell
Electronic total energy ... -17.4 eV per cell
DFT formation energy ... 592 meV/atom

Cell: 4.4096 4.4096 4.4096 Å, 120.11 120.11 89.81°
Positions (direct):
Be  0.0000  0.0000  0.0000
Tc  0.7500  0.2500  0.5000
Ag  0.2500  0.7500  0.5000
Ag  0.5000  0.5000  0.0000

12.
BeTcAg2 | PBE-GGA | optimized geometry

Output
Volume ... 57.7 Å³/cell
Electronic total energy ... -18.2 eV per cell
DFT formation energy ... 409 meV/atom

Cell: 2.6952 2.6952 7.9452 Å, 90.00 90.00 90.00°
Positions (direct):
Be  0.0000  0.0000  0.0000
Tc  0.0000  0.0000  0.5000
Ag  0.5000  0.5000  0.2158
Ag  0.5000  0.5000  0.7842